Computed, not measured: a relaxed structure of Sr4Ca8Ac at the PBE level of DFT. Values from VASP.

The structure in Quantum ESPRESSO input format:
```
&SYSTEM
  ibrav = 0, nat = 13, ntyp = 3
/
ATOMIC_SPECIES
Ca 40.08 Ca.upf
Ac 227.00 Ac.upf
Sr 87.62 Sr.upf
CELL_PARAMETERS angstrom
-4.741 -1.727 -2.814
7.647 -4.908 -15.801
-0.265 -6.743 -1.347
ATOMIC_POSITIONS crystal
Ca 0.746 0.056 0.451
Ac 0.818 0.824 0.540
Ca 0.665 0.284 0.385
Sr 0.280 0.438 0.002
Ca 0.970 0.362 0.698
Sr 0.588 0.520 0.303
Ca 0.508 0.749 0.236
Ca 0.432 0.978 0.158
Ca 0.359 0.210 0.073
Ca 0.205 0.675 0.915
Sr 0.051 0.135 0.763
Sr 0.125 0.902 0.847
Ca 0.898 0.599 0.606
```

Calculated values
As for the space group: Cm, No. 8. The value obtained for the spin magnetization is 0.00 μB/f.u. As for the formation energy: 38 meV/atom.

=====

Computed, not measured: a relaxed structure of KMg2Tc at the PBE level of DFT. Values from VASP.

The structure in Quantum ESPRESSO input format:
```
&SYSTEM
  ibrav = 0, nat = 4, ntyp = 3
/
ATOMIC_SPECIES
Tc 98.00 Tc.upf
K 39.10 K.upf
Mg 24.30 Mg.upf
CELL_PARAMETERS angstrom
-4.559 1.951 1.879
-1.740 -4.931 0.880
1.167 0.080 2.743
ATOMIC_POSITIONS crystal
Tc 0.500 0.000 0.500
K 0.000 0.500 0.500
Mg 0.500 0.500 0.000
Mg 0.000 0.000 0.000
```

Calculated values
The value obtained for the energy relative to the lowest polymorph listed for this composition is 1.09 eV/f.u. As for the space group: Cmmm, No. 65. The value obtained for the spin magnetization is 0.00 μB/f.u. As for the formation energy: 730 meV/atom.

=====

Computed, not measured: a relaxed structure of Sm2Dy2HoTm4 at the PBE level of DFT. Values from VASP.

The structure in Quantum ESPRESSO input format:
```
&SYSTEM
  ibrav = 0, nat = 9, ntyp = 4
/
ATOMIC_SPECIES
Ho 164.93 Ho.upf
Sm 150.36 Sm.upf
Dy 162.50 Dy.upf
Tm 168.93 Tm.upf
CELL_PARAMETERS angstrom
-0.204 -0.792 -3.469
7.528 -5.063 2.544
-8.368 -4.192 1.448
ATOMIC_POSITIONS crystal
Ho 0.000 0.000 0.000
Sm 0.666 0.331 0.000
Dy 0.853 0.706 0.337
Dy 0.147 0.294 0.663
Sm 0.334 0.669 0.000
Tm 0.481 0.961 0.665
Tm 0.519 0.039 0.335
Tm 0.185 0.371 0.336
Tm 0.815 0.629 0.664
```

Calculated values
As for the space group: C2/m, No. 12. The value obtained for the spin magnetization is 0.00 μB/f.u. As for the formation energy: -3 meV/atom.

=====

Computed, not measured: a relaxed structure of Sm2Al9Fe3 at the PBE level of DFT. Values from VASP.

The structure in Quantum ESPRESSO input format:
```
&SYSTEM
  ibrav = 0, nat = 28, ntyp = 3
/
ATOMIC_SPECIES
Sm 150.36 Sm.upf
Al 26.98 Al.upf
Fe 55.84 Fe.upf
CELL_PARAMETERS angstrom
6.907 -0.055 -2.888
-4.083 6.276 0.001
0.371 0.281 10.493
ATOMIC_POSITIONS crystal
Sm 0.661 0.752 0.249
Al 0.329 0.291 0.248
Al 0.457 0.918 0.748
Fe 0.827 0.657 0.998
Al 0.127 0.142 0.435
Al 0.793 0.308 0.935
Fe 0.842 0.172 0.498
Al 0.545 0.355 0.069
Sm 0.004 0.413 0.251
Al 0.885 0.135 0.750
Fe 0.173 0.343 0.002
Al 0.543 0.082 0.252
Al 0.115 0.865 0.250
Sm 0.339 0.248 0.751
Al 0.671 0.709 0.752
Al 0.873 0.858 0.565
Al 0.214 0.524 0.569
Sm 0.996 0.587 0.749
Al 0.468 0.820 0.456
Al 0.532 0.180 0.544
Al 0.455 0.645 0.931
Fe 0.158 0.828 0.502
Al 0.136 0.988 0.956
Al 0.864 0.012 0.044
Al 0.786 0.476 0.431
Fe 0.500 0.500 0.500
Al 0.207 0.692 0.065
Fe 0.500 0.000 0.000
```

Calculated values
As for the space group: C2/c, No. 15. The value obtained for the spin magnetization is 0.36 μB/f.u. As for the formation energy: -399 meV/atom.

=====

Computed, not measured: a relaxed structure of Pr6Ge3P2Se at the PBE level of DFT. Values from VASP.

The structure in Quantum ESPRESSO input format:
```
&SYSTEM
  ibrav = 0, nat = 12, ntyp = 4
/
ATOMIC_SPECIES
Pr 140.91 Pr.upf
Ge 72.64 Ge.upf
P 30.97 P.upf
Se 78.96 Se.upf
CELL_PARAMETERS angstrom
4.194 0.000 0.000
0.000 8.725 0.162
-2.097 -2.670 9.033
ATOMIC_POSITIONS crystal
Pr 0.003 0.253 0.006
Pr 0.667 0.094 0.334
Pr 0.331 0.425 0.661
Pr 0.997 0.747 0.994
Ge 0.500 0.500 0.000
P 0.833 0.667 0.667
Se 0.500 0.000 0.000
P 0.167 0.333 0.333
Ge 0.165 0.833 0.331
Pr 0.669 0.575 0.339
Pr 0.333 0.906 0.666
Ge 0.835 0.167 0.669
```

Calculated values
As for the space group: C2/m, No. 12. The value obtained for the spin magnetization is 0.00 μB/f.u. The total energy is -71.0 eV per cell.

=====

Computed, not measured: a relaxed structure of Sm5TmAg6 at the PBE level of DFT. Values from VASP.

The structure in Quantum ESPRESSO input format:
```
&SYSTEM
  ibrav = 0, nat = 12, ntyp = 3
/
ATOMIC_SPECIES
Sm 150.36 Sm.upf
Ag 107.87 Ag.upf
Tm 168.93 Tm.upf
CELL_PARAMETERS angstrom
4.969 -0.030 1.672
0.039 7.318 0.013
0.015 -0.015 8.318
ATOMIC_POSITIONS crystal
Sm 0.666 0.000 0.669
Ag 0.837 0.245 0.326
Sm 0.000 0.500 0.000
Sm 0.334 0.000 0.331
Ag 0.163 0.245 0.674
Ag 0.500 0.758 0.000
Sm 0.668 0.500 0.664
Sm 0.332 0.500 0.336
Ag 0.163 0.755 0.674
Ag 0.500 0.242 0.000
Ag 0.837 0.755 0.326
Tm 0.000 0.000 0.000
```

Calculated values
As for the space group: P2/m, No. 10. The value obtained for the spin magnetization is 0.00 μB/f.u. As for the formation energy: -288 meV/atom.

=====

Computed, not measured: a relaxed structure of Sm6Y3In at the PBE level of DFT. Values from VASP.

The structure in Quantum ESPRESSO input format:
```
&SYSTEM
  ibrav = 0, nat = 20, ntyp = 3
/
ATOMIC_SPECIES
Y 88.91 Y.upf
Sm 150.36 Sm.upf
In 114.82 In.upf
CELL_PARAMETERS angstrom
-1.745 4.764 -2.532
-11.811 -1.474 5.365
10.699 5.621 3.202
ATOMIC_POSITIONS crystal
Y 0.750 0.002 0.086
Sm 0.250 0.384 0.706
Sm 0.750 0.594 0.787
Sm 0.750 0.616 0.294
Sm 0.750 0.390 0.877
Y 0.750 0.005 0.589
In 0.750 0.807 0.192
Sm 0.250 0.610 0.123
Sm 0.750 0.795 0.686
Y 0.250 0.995 0.411
Sm 0.250 0.796 0.024
Sm 0.250 0.803 0.526
Sm 0.250 0.205 0.314
Y 0.750 0.398 0.377
In 0.250 0.193 0.808
Sm 0.250 0.406 0.213
Sm 0.750 0.197 0.474
Y 0.250 0.998 0.914
Y 0.250 0.602 0.623
Sm 0.750 0.204 0.976
```

Calculated values
As for the space group: P2_1/m, No. 11. The value obtained for the spin magnetization is 0.00 μB/f.u. As for the formation energy: -65 meV/atom.

=====

Computed, not measured: a relaxed structure of Pm2Nd4Tm3 at the PBE level of DFT. Values from VASP.

The structure in Quantum ESPRESSO input format:
```
&SYSTEM
  ibrav = 0, nat = 9, ntyp = 3
/
ATOMIC_SPECIES
Nd 144.24 Nd.upf
Tm 168.93 Tm.upf
Pm 145.00 Pm.upf
CELL_PARAMETERS angstrom
-1.057 0.043 -6.150
2.153 -3.632 -4.593
-8.270 -5.307 4.500
ATOMIC_POSITIONS crystal
Nd 0.667 0.667 0.888
Nd 0.333 0.333 0.112
Tm 0.335 0.335 0.447
Pm 0.332 0.332 0.775
Tm 0.665 0.665 0.553
Pm 0.668 0.668 0.225
Nd 0.002 0.002 0.334
Nd 0.998 0.998 0.666
Tm 0.000 0.000 0.000
```

Calculated values
The value obtained for the energy relative to the lowest polymorph listed for this composition is 0.00 eV/f.u. As for the space group: C2/m, No. 12. The value obtained for the spin magnetization is 0.00 μB/f.u. As for the formation energy: 18 meV/atom.

=====

- Which value of spin magnetization does entry 6 give?
  0.00 μB/f.u.